Below is a relaxed NaTmAuSe2 crystal, with properties calculated at the PBE-GGA level.

E_tot, Ha/atom: -0.155
Formation energy from raw total energies, eV/f.u.: -5.05
Total magnetic moment, μB/atom: 0.000

Structure (CIF):
```
data_NaTmAuSe2
_cell_length_a 4.903
_cell_length_b 6.974
_cell_length_c 7.595
_cell_angle_alpha 96.92
_cell_angle_beta 90.00
_cell_angle_gamma 90.00
_symmetry_space_group_name_H-M 'P 1'
_symmetry_Int_Tables_number 1
_symmetry_space_group_name_Hall 'P 1'
loop_
_atom_site_label
_atom_site_fract_x
_atom_site_fract_y
_atom_site_fract_z
Se1 0.350 0.719 0.472
Tm1 0.505 0.000 0.750
Au1 0.000 0.000 0.000
Tm2 0.495 0.000 0.250
Se2 0.350 0.281 0.028
Na1 0.899 0.500 0.250
Au2 0.000 0.000 0.500
Na2 0.101 0.500 0.750
Se3 0.650 0.281 0.528
Se4 0.650 0.719 0.972
```